An optimized crystal structure of Hf4InAg. Source: Alexandria, functional PBE.

a b c (Å): 4.340 13.662 4.346
angles (deg): 90.00 90.00 90.00
Space group Cmmm (No. 65)
Unique sites:
Hf 0.000 0.170 0.000 [4 per cell]
Hf 0.000 0.329 0.500 [4 per cell]
In 0.000 0.500 0.000 [2 per cell]
Ag 0.000 0.000 0.500 [2 per cell]

Results
As for the size of the total moment: 0.00 μB per atom. Its electronic total energy is -7.69 eV per atom. The value obtained for the density of states at the Fermi level is 7.8 states/eV per cell.